VASP calculation (GGA-PBE) on crystalline Pm2PrMg at its relaxed geometry.

Results
* energy of formation from the pure elements: 16 kJ/mol of formula units
* M_tot: 0.0 μB per formula unit
* distance to the lowest polymorph of the same formula: 81.8 meV per atom

Cell lengths 3.614, 3.614, 11.758 Å; angles 81.17, 81.17, 59.99 degrees
Atoms (fractional coordinates):
Pm 0.086 0.086 0.741
Pm 0.247 0.247 0.260
Pr 0.667 0.667 0.999
Mg 0.500 0.500 0.500